# 1
## Na2NiHg (PBE)

Data for Na2NiHg after structural relaxation.

Properties
Symmetry   No. 122
Energy   -1.872 eV per atom

Lattice parameters (Å, degrees): 3.9513 3.9513 10.8839 79.54 79.54 90.00
Element x y z (fractional)
Ni (0.2500, 0.7500, 0.5000)
Ni (0.5000, 0.5000, 0.0000)
Hg (0.0000, 0.0000, 0.0000)
Hg (0.7500, 0.2500, 0.5000)
Na (0.6158, 0.1250, 0.2500)
Na (0.3750, 0.3842, 0.7500)
Na (0.8750, 0.8658, 0.7500)
Na (0.1342, 0.6250, 0.2500)



# 2
## ZnFe2MoH (PBE)

Data for ZnFe2MoH after structural relaxation.

Properties
Symmetry   No. 123
Energy   -6.339 eV per atom

Lattice parameters (Å, degrees): 3.7160 3.7160 3.9896 90.00 90.00 90.00
Element x y z (fractional)
Fe (0.0000, 0.5000, 0.0000)
Fe (0.5000, 0.0000, 0.0000)
H (0.0000, 0.0000, 0.0000)
Zn (0.5000, 0.5000, 0.5000)
Mo (0.0000, 0.0000, 0.5000)



# 3
## Ac2PmMgTe5 (PBE)

Data for Ac2PmMgTe5 after structural relaxation.

Properties
ΔE_f (raw)   -1376 meV/atom
Symmetry   No. 36

Lattice parameters (Å, degrees): 4.5445 10.0566 13.7952 90.00 90.00 103.06
Element x y z (fractional)
Te (0.7124, 0.4249, 0.1714)
Te (0.3131, 0.6263, 0.3512)
Te (0.2876, 0.5751, 0.6714)
Te (0.4954, 0.9908, 0.7735)
Te (0.5046, 0.0092, 0.2735)
Te (0.0454, 0.0908, 0.0652)
Te (0.6869, 0.3737, 0.8512)
Te (0.6384, 0.2767, 0.5013)
Te (0.9546, 0.9092, 0.5652)
Te (0.3616, 0.7233, 0.0013)
Mg (0.5540, 0.1081, 0.9527)
Mg (0.4460, 0.8919, 0.4527)
Ac (0.1144, 0.2288, 0.6860)
Ac (0.8856, 0.7712, 0.1860)
Ac (0.8677, 0.7354, 0.8098)
Ac (0.1323, 0.2646, 0.3098)
Pm (0.2011, 0.4022, 0.0129)
Pm (0.7989, 0.5978, 0.5129)



# 4
## TePbOF2 (PBE)

Data for TePbOF2 after structural relaxation.

Properties
ΔE_f (raw)   -977 meV/atom
Symmetry   No. 123

Lattice parameters (Å, degrees): 4.8989 4.8989 4.2014 90.00 90.00 90.00
Element x y z (fractional)
Pb (0.5000, 0.5000, 0.5000)
F (0.5000, 0.0000, 0.0000)
F (0.0000, 0.5000, 0.0000)
O (0.0000, 0.0000, 0.5000)
Te (0.0000, 0.0000, 0.0000)



# 5
## ThPaTeOs (PBE)

Data for ThPaTeOs after structural relaxation.

Properties
ΔE_f (raw)   -686 meV/atom
Symmetry   No. 160

Lattice parameters (Å, degrees): 4.0918 4.0918 8.0623 90.00 104.71 120.00
Element x y z (fractional)
Pa (0.1004, 0.9481, 0.0638)
Th (0.5013, 0.1486, 0.6651)
Te (0.9610, 0.3786, 0.3548)
Os (0.3152, 0.5555, 0.8860)



# 6
## EuGd2Y (PBE)

Data for EuGd2Y after structural relaxation.

Properties
Symmetry   No. 225
Energy   -11.096 eV per atom

Lattice parameters (Å, degrees): 5.7748 5.7748 5.7748 60.00 60.00 60.00
Element x y z (fractional)
Y (0.5000, 0.5000, 0.5000)
Gd (0.2500, 0.2500, 0.2500)
Gd (0.7500, 0.7500, 0.7500)
Eu (0.0000, 0.0000, 0.0000)



Calculated N(E_F) (states/eV/f.u.), listed in the same order as above: 1.805, 3.849, 2.269, 2.873, 3.861, 8.619